A plane-wave DFT calculation with PBE was carried out for a relaxed structure of LiTeAsI2.

Geometry as POSCAR:
```
LiTeAsI2
1.0
5.230 0.000 0.000
0.000 5.230 0.000
0.000 0.000 5.318
Li Te As I
1 1 1 2
direct
0.000 0.000 0.000 Li
0.000 0.000 0.500 Te
0.500 0.500 0.500 As
0.000 0.500 0.000 I
0.500 0.000 0.000 I
```

## Properties
Its calculated volume is 29.094 A^3/atom. Its energy relative to the elements, uncorrected is 31.4 kJ/mol of atoms. Its density of states at the Fermi level is 1.0978 states/eV/atom. The energy above the most stable polymorph in this dataset is 37.7 kJ/mol of atoms. Its symmetry is P4/mmm, No. 123.

=====

A plane-wave DFT calculation with PBE was carried out for a relaxed structure of LiTeAsI2.

Geometry as POSCAR:
```
LiTeAsI2
1.0
5.789 0.000 0.000
0.000 5.789 0.000
0.000 0.000 5.536
Li Te As I
1 1 1 2
direct
0.000 0.000 0.000 Li
0.500 0.500 0.000 Te
0.500 0.500 0.500 As
0.000 0.500 0.500 I
0.500 0.000 0.500 I
```

## Properties
Its calculated volume is 37.105 A^3/atom. Its energy relative to the elements, uncorrected is -6.3 kJ/mol of atoms. Its density of states at the Fermi level is 0.5804 states/eV/atom. The energy above the most stable polymorph in this dataset is 0.0 kJ/mol of atoms. Its symmetry is P4/mmm, No. 123.

=====

A plane-wave DFT calculation with PBE was carried out for a relaxed structure of Li2TiAsI.

Geometry as POSCAR:
```
Li2TiAsI
1.0
4.734 0.000 0.000
0.000 4.734 0.000
0.000 0.000 5.495
Li Ti As I
2 1 1 1
direct
0.000 0.500 0.000 Li
0.500 0.000 0.000 Li
0.000 0.000 0.500 Ti
0.500 0.500 0.500 As
0.000 0.000 0.000 I
```

## Properties
Its calculated volume is 24.629 A^3/atom. Its energy relative to the elements, uncorrected is 15.3 kJ/mol of atoms. Its density of states at the Fermi level is 0.6178 states/eV/atom. Its symmetry is P4/mmm, No. 123.

=====

A plane-wave DFT calculation with PBE was carried out for a relaxed structure of LiTl2AsI6.

Geometry as POSCAR:
```
LiTl2AsI6
1.0
4.152 2.397 7.322
-4.152 2.397 7.322
0.000 -4.794 7.322
Li Tl As I
1 2 1 6
direct
0.000 0.000 0.000 Li
0.213 0.213 0.213 Tl
0.710 0.710 0.710 Tl
0.419 0.419 0.419 As
0.067 0.638 0.270 I
0.178 0.551 0.726 I
0.270 0.067 0.638 I
0.551 0.726 0.178 I
0.638 0.270 0.067 I
0.726 0.178 0.551 I
```

## Properties
Its calculated volume is 43.727 A^3/atom. Its energy relative to the elements, uncorrected is -52.5 kJ/mol of atoms. Its density of states at the Fermi level is 0.0000 states/eV/atom. Its symmetry is R3, No. 146.

=====

A plane-wave DFT calculation with PBE was carried out for a relaxed structure of LiYAsI2.

Geometry as POSCAR:
```
LiYAsI2
1.0
6.158 0.000 0.000
0.000 6.158 0.000
0.000 0.000 5.362
Li Y As I
1 1 1 2
direct
0.000 0.000 0.000 Li
0.500 0.500 0.000 Y
0.500 0.500 0.500 As
0.000 0.500 0.500 I
0.500 0.000 0.500 I
```

## Properties
Its calculated volume is 40.665 A^3/atom. Its energy relative to the elements, uncorrected is -4.6 kJ/mol of atoms. Its density of states at the Fermi level is 0.5035 states/eV/atom. Its symmetry is P4/mmm, No. 123.

=====

A plane-wave DFT calculation with PBE was carried out for a relaxed structure of Mg2As2I.

Geometry as POSCAR:
```
Mg2As2I
1.0
-2.555 2.555 4.676
2.555 -2.555 4.676
2.555 2.555 -4.676
Mg As I
2 2 1
direct
0.250 0.750 0.500 Mg
0.750 0.250 0.500 Mg
0.130 0.130 0.000 As
0.870 0.870 0.000 As
0.500 0.500 0.000 I
```

## Properties
Its calculated volume is 24.418 A^3/atom. Its energy relative to the elements, uncorrected is -34.8 kJ/mol of atoms. Its density of states at the Fermi level is 0.6498 states/eV/atom. Its symmetry is I4/mmm, No. 139.

=====

A plane-wave DFT calculation with PBE was carried out for a relaxed structure of MgAsI3.

Geometry as POSCAR:
```
MgAsI3
1.0
5.747 0.000 0.000
0.000 5.747 0.000
0.000 0.000 5.747
Mg As I
1 1 3
direct
0.000 0.000 0.000 Mg
0.500 0.500 0.500 As
0.000 0.500 0.500 I
0.500 0.000 0.500 I
0.500 0.500 0.000 I
```

## Properties
Its calculated volume is 37.955 A^3/atom. Its energy relative to the elements, uncorrected is 4.4 kJ/mol of atoms. Its density of states at the Fermi level is 0.3480 states/eV/atom. The energy above the most stable polymorph in this dataset is 0.0 kJ/mol of atoms. Its symmetry is Pm-3m, No. 221.

=====

A plane-wave DFT calculation with PBE was carried out for a relaxed structure of MgAsI3.

Geometry as POSCAR:
```
MgAsI3
1.0
5.722 0.000 0.000
0.000 5.722 0.000
0.000 0.000 5.722
Mg As I
1 1 3
direct
0.000 0.000 0.000 Mg
0.500 0.500 0.500 As
0.000 0.000 0.500 I
0.000 0.500 0.000 I
0.500 0.000 0.000 I
```

## Properties
Its calculated volume is 37.477 A^3/atom. Its energy relative to the elements, uncorrected is 5.2 kJ/mol of atoms. Its density of states at the Fermi level is 0.9785 states/eV/atom. The energy above the most stable polymorph in this dataset is 0.8 kJ/mol of atoms. Its symmetry is Pm-3m, No. 221.

=====

A plane-wave DFT calculation with PBE was carried out for a relaxed structure of MgAsI.

Geometry as POSCAR:
```
MgAsI
1.0
3.844 0.000 0.000
-0.105 7.762 0.000
-0.224 -3.455 7.306
Mg As I
2 2 2
direct
0.241 0.303 0.041 Mg
0.759 0.697 0.959 Mg
0.259 0.012 0.117 As
0.741 0.988 0.883 As
0.237 0.415 0.742 I
0.763 0.585 0.258 I
```

## Properties
Its calculated volume is 36.331 A^3/atom. Its energy relative to the elements, uncorrected is -51.9 kJ/mol of atoms. Its symmetry is P-1, No. 2.

=====

A plane-wave DFT calculation with PBE was carried out for a relaxed structure of MgAsI6.

Geometry as POSCAR:
```
MgAsI6
1.0
7.319 0.000 0.000
3.659 6.348 0.000
3.652 -2.095 6.359
Mg As I
1 1 6
direct
0.000 0.000 0.000 Mg
0.000 0.500 0.500 As
0.166 0.578 0.752 I
0.173 0.745 0.249 I
0.495 0.083 0.250 I
0.505 0.917 0.750 I
0.827 0.255 0.751 I
0.834 0.422 0.248 I
```

## Properties
Its calculated volume is 36.935 A^3/atom. Its energy relative to the elements, uncorrected is -30.1 kJ/mol of atoms. Its density of states at the Fermi level is 1.5715 states/eV/atom. Its symmetry is P-1, No. 2.

=====

A plane-wave DFT calculation with PBE was carried out for a relaxed structure of MgAsI2N.

Geometry as POSCAR:
```
MgAsI2N
1.0
6.032 0.000 0.000
0.000 6.032 0.000
0.000 0.000 3.732
Mg As I N
1 1 2 1
direct
0.000 0.000 0.000 Mg
0.500 0.500 0.500 As
0.000 0.500 0.500 I
0.500 0.000 0.500 I
0.500 0.500 0.000 N
```

## Properties
Its calculated volume is 27.159 A^3/atom. Its energy relative to the elements, uncorrected is 44.0 kJ/mol of atoms. Its density of states at the Fermi level is 0.3326 states/eV/atom. The energy above the most stable polymorph in this dataset is 0.0 kJ/mol of atoms. Its symmetry is P4/mmm, No. 123.

=====

A plane-wave DFT calculation with PBE was carried out for a relaxed structure of MgAsI2N.

Geometry as POSCAR:
```
MgAsI2N
1.0
5.690 0.000 0.000
0.000 5.690 0.000
0.000 0.000 3.913
Mg As I N
1 1 2 1
direct
0.000 0.000 0.000 Mg
0.500 0.500 0.500 As
0.000 0.500 0.000 I
0.500 0.000 0.000 I
0.000 0.000 0.500 N
```

## Properties
Its calculated volume is 25.338 A^3/atom. Its energy relative to the elements, uncorrected is 74.7 kJ/mol of atoms. Its density of states at the Fermi level is 1.4667 states/eV/atom. The energy above the most stable polymorph in this dataset is 30.7 kJ/mol of atoms. Its symmetry is P4/mmm, No. 123.

=====

A plane-wave DFT calculation with PBE was carried out for a relaxed structure of MgNb2AsI.

Geometry as POSCAR:
```
MgNb2AsI
1.0
5.087 0.000 0.000
0.000 5.087 0.000
0.000 0.000 4.882
Mg Nb As I
1 2 1 1
direct
0.000 0.000 0.000 Mg
0.000 0.500 0.000 Nb
0.500 0.000 0.000 Nb
0.500 0.500 0.500 As
0.000 0.000 0.500 I
```

## Properties
Its calculated volume is 25.268 A^3/atom. Its energy relative to the elements, uncorrected is 167.2 kJ/mol of atoms. Its density of states at the Fermi level is 1.0450 states/eV/atom. Its symmetry is P4/mmm, No. 123.

=====

A plane-wave DFT calculation with PBE was carried out for a relaxed structure of MgAsIO2.

Geometry as POSCAR:
```
MgAsIO2
1.0
4.036 0.000 0.000
0.000 4.036 0.000
0.000 0.000 5.722
Mg As I O
1 1 1 2
direct
0.000 0.000 0.000 Mg
0.500 0.500 0.500 As
0.000 0.000 0.500 I
0.000 0.500 0.000 O
0.500 0.000 0.000 O
```

## Properties
Its calculated volume is 18.637 A^3/atom. Its energy relative to the elements, uncorrected is -13.0 kJ/mol of atoms. Its density of states at the Fermi level is 0.9958 states/eV/atom. The energy above the most stable polymorph in this dataset is 21.3 kJ/mol of atoms. Its symmetry is P4/mmm, No. 123.

=====

A plane-wave DFT calculation with PBE was carried out for a relaxed structure of MgAsIO2.

Geometry as POSCAR:
```
MgAsIO2
1.0
3.993 0.000 0.000
0.000 3.993 0.000
0.000 0.000 5.912
Mg As I O
1 1 1 2
direct
0.000 0.000 0.000 Mg
0.500 0.500 0.500 As
0.500 0.500 0.000 I
0.000 0.500 0.500 O
0.500 0.000 0.500 O
```

## Properties
Its calculated volume is 18.855 A^3/atom. Its energy relative to the elements, uncorrected is -34.3 kJ/mol of atoms. Its density of states at the Fermi level is 0.5535 states/eV/atom. The energy above the most stable polymorph in this dataset is 0.0 kJ/mol of atoms. Its symmetry is P4/mmm, No. 123.

=====

A plane-wave DFT calculation with PBE was carried out for a relaxed structure of RbMgAsI6.

Geometry as POSCAR:
```
RbMgAsI6
1.0
7.547 0.000 0.000
-3.774 6.536 0.000
0.000 0.000 8.318
Rb Mg As I
1 1 1 6
direct
0.000 0.000 0.000 Rb
0.333 0.667 0.500 Mg
0.667 0.333 0.500 As
0.372 0.003 0.702 I
0.372 0.369 0.298 I
0.631 0.003 0.298 I
0.631 0.628 0.702 I
0.997 0.369 0.702 I
0.997 0.628 0.298 I
```

## Properties
Its calculated volume is 45.593 A^3/atom. Its energy relative to the elements, uncorrected is -71.6 kJ/mol of atoms. Its density of states at the Fermi level is 0.0000 states/eV/atom. Its symmetry is P312, No. 149.

=====

A plane-wave DFT calculation with PBE was carried out for a relaxed structure of Rb2MgAsI6.

Geometry as POSCAR:
```
Rb2MgAsI6
1.0
-4.189 4.189 5.921
4.189 -4.189 5.921
4.189 4.189 -5.921
Rb Mg As I
2 1 1 6
direct
0.250 0.750 0.500 Rb
0.750 0.250 0.500 Rb
0.000 0.000 0.000 Mg
0.500 0.500 0.000 As
0.249 0.249 0.000 I
0.251 0.251 0.503 I
0.251 0.749 0.000 I
0.749 0.251 0.000 I
0.749 0.749 0.497 I
0.751 0.751 0.000 I
```

## Properties
Its calculated volume is 41.552 A^3/atom. Its energy relative to the elements, uncorrected is -79.1 kJ/mol of atoms. Its density of states at the Fermi level is 0.3527 states/eV/atom. Its symmetry is I4/mmm, No. 139.

=====

A plane-wave DFT calculation with PBE was carried out for a relaxed structure of RbMgAsI2.

Geometry as POSCAR:
```
RbMgAsI2
1.0
6.514 0.000 0.000
0.000 6.514 0.000
0.000 0.000 4.849
Rb Mg As I
1 1 1 2
direct
0.000 0.000 0.000 Rb
0.500 0.500 0.000 Mg
0.500 0.500 0.500 As
0.000 0.500 0.500 I
0.500 0.000 0.500 I
```

## Properties
Its calculated volume is 41.151 A^3/atom. Its energy relative to the elements, uncorrected is -44.7 kJ/mol of atoms. Its density of states at the Fermi level is 0.2371 states/eV/atom. Its symmetry is P4/mmm, No. 123.

=====

A plane-wave DFT calculation with PBE was carried out for a relaxed structure of MgSbAsI2.

Geometry as POSCAR:
```
MgSbAsI2
1.0
5.498 0.000 0.000
0.000 5.498 0.000
0.000 0.000 5.864
Mg Sb As I
1 1 1 2
direct
0.000 0.000 0.000 Mg
0.000 0.000 0.500 Sb
0.500 0.500 0.500 As
0.000 0.500 0.000 I
0.500 0.000 0.000 I
```

## Properties
Its calculated volume is 35.453 A^3/atom. Its energy relative to the elements, uncorrected is 38.7 kJ/mol of atoms. Its density of states at the Fermi level is 0.9640 states/eV/atom. The energy above the most stable polymorph in this dataset is 9.8 kJ/mol of atoms. Its symmetry is P4/mmm, No. 123.

=====

A plane-wave DFT calculation with PBE was carried out for a relaxed structure of MgSb2AsI.

Geometry as POSCAR:
```
MgSb2AsI
1.0
5.462 0.000 0.000
0.000 5.462 0.000
0.000 0.000 5.573
Mg Sb As I
1 2 1 1
direct
0.000 0.000 0.000 Mg
0.000 0.500 0.500 Sb
0.500 0.000 0.500 Sb
0.500 0.500 0.500 As
0.500 0.500 0.000 I
```

## Properties
Its calculated volume is 33.253 A^3/atom. Its energy relative to the elements, uncorrected is 48.3 kJ/mol of atoms. Its density of states at the Fermi level is 1.1862 states/eV/atom. The energy above the most stable polymorph in this dataset is 0.0 kJ/mol of atoms. Its symmetry is P4/mmm, No. 123.